VASP calculation (PBE) on a relaxed Dy3ErC2Se2 crystal.

It has space group P3m1 (No. 156), with a = 3.7495 Å, b = 3.7495 Å, c = 13.2426 Å, α = 90.00°, β = 90.00° and γ = 120.00°. Symmetry generates all atoms from Dy at (0.0000, 0.0000, 0.0000), Dy at (0.0000, 0.0000, 0.3005), Dy at (0.3333, 0.6667, 0.5018), Er at (0.3333, 0.6667, 0.8008), C at (0.6667, 0.3333, 0.4012), C at (0.6667, 0.3333, 0.8996), Se at (0.0000, 0.0000, 0.6530) and Se at (0.3333, 0.6667, 0.1506).

Its energy is -53.032 eV/cell.

VASP calculation (PBE) on a relaxed DyErCSe crystal.

It has space group P-6m2 (No. 187), with a = 3.7408 Å, b = 3.7408 Å, c = 13.2144 Å, α = 90.00°, β = 90.00° and γ = 120.00°. Symmetry generates all atoms from Dy at (0.0000, 0.0000, 0.1501), Er at (0.3333, 0.6667, 0.3500), C at (0.6667, 0.3333, 0.2504), Se at (0.0000, 0.0000, 0.5000) and Se at (0.3333, 0.6667, 0.0000).

Its energy is -53.045 eV/cell.

VASP calculation (PBE) on a relaxed DyErCSe crystal.

It has space group P-3m1 (No. 164), with a = 3.7392 Å, b = 3.7392 Å, c = 13.2012 Å, α = 90.00°, β = 90.00° and γ = 120.00°. Symmetry generates all atoms from Dy at (0.3333, 0.6667, 0.3988), Er at (0.3333, 0.6667, 0.0988), C at (0.0000, 0.0000, 0.0000), C at (0.0000, 0.0000, 0.5000) and Se at (0.3333, 0.6667, 0.7524).

Its energy is -53.049 eV/cell.